CsPaTe2 | PBE-GGA | optimized geometry

Lattice parameters (Å, degrees): 3.886 3.886 9.103 90.00 90.00 90.00
Element x y z (fractional)
Cs  0.000  0.000  0.000
Pa  0.000  0.000  0.500
Te  0.500  0.500  0.305
Te  0.500  0.500  0.695

Values from the calculation:
Calculated density (Mg/m³): 7.48
E (eV per atom): -5.06
ΔE_f (raw) (meV per atom): -906